(1)
First-principles (PBE) data for a geometry-optimized Mn2AgBr structure, as listed in Alexandria.

The calculation puts the density of states at the Fermi level at 4.9 states/eV per cell. Its uncorrected formation energy is 0.531 eV/atom. The energy above the most stable polymorph in this dataset is 271.1 meV/atom. As for the total energy: -0.3811 Ry/atom.

The space group is Immm (No. 71) and the conventional cell measures 3.370, 5.392 and 8.674 Å, with angles of 90.00, 90.00 and 90.00 degrees. The inequivalent atoms are Mn at (0.000, 0.000, 0.242), Ag at (0.000, 0.500, 0.000) and Br at (0.000, 0.500, 0.500).

(2)
First-principles (PBE) data for a geometry-optimized Mn2AgBr6 structure, as listed in Alexandria.

The calculation puts the density of states at the Fermi level at 5.8 states/eV per cell. Its uncorrected formation energy is -0.557 eV/atom. The energy above the most stable polymorph in this dataset is 44.0 meV/atom. As for the total energy: -0.2959 Ry/atom.

The space group is C2/m (No. 12) and the conventional cell measures 13.441, 4.343 and 9.822 Å, with angles of 90.00, 96.60 and 90.00 degrees. The inequivalent atoms are Mn at (0.241, 0.000, 0.325), Ag at (0.000, 0.500, 0.000), Br at (0.101, 0.500, 0.765), Br at (0.127, 0.000, 0.111) and Br at (0.160, 0.500, 0.420).